Record 1
Y2PPbS after structural relaxation, computed with PBE.

The calculation puts the uncorrected formation energy at -0.5014 eV/atom. The uncorrected energy comes out at -5.736 eV per atom. The value obtained for the density of states at the Fermi level is 3.38 states/eV/f.u.

It has space group P4/mmm (No. 123), with a = 5.2312 Å, b = 5.2312 Å, c = 4.7037 Å, α = 90.00°, β = 90.00° and γ = 90.00°. The distinct sites, in fractional coordinates, are Y at (0.0000, 0.5000, 0.0000), P at (0.0000, 0.0000, 0.5000), Pb at (0.5000, 0.5000, 0.5000) and S at (0.0000, 0.0000, 0.0000).

---

Record 2
YP2PbS after structural relaxation, computed with PBE.

The calculation puts the uncorrected formation energy at 0.4032 eV/atom. The uncorrected energy comes out at -4.621 eV per atom. The value obtained for the energy above the lowest structure with this stoichiometry is 264.9 meV/atom. The value obtained for the density of states at the Fermi level is 5.59 states/eV/f.u.

It has space group P4/mmm (No. 123), with a = 5.0666 Å, b = 5.0666 Å, c = 5.1558 Å, α = 90.00°, β = 90.00° and γ = 90.00°. The distinct sites, in fractional coordinates, are Y at (0.0000, 0.0000, 0.0000), P at (0.0000, 0.5000, 0.5000), Pb at (0.5000, 0.5000, 0.5000) and S at (0.5000, 0.5000, 0.0000).

---

Record 3
YP2PbS after structural relaxation, computed with PBE.

The calculation puts the uncorrected formation energy at 0.1383 eV/atom. The uncorrected energy comes out at -4.886 eV per atom. The value obtained for the energy above the lowest structure with this stoichiometry is 0.0 meV/atom. The value obtained for the density of states at the Fermi level is 5.05 states/eV/f.u.

It has space group P4/mmm (No. 123), with a = 5.5226 Å, b = 5.5226 Å, c = 5.3918 Å, α = 90.00°, β = 90.00° and γ = 90.00°. The distinct sites, in fractional coordinates, are Y at (0.0000, 0.0000, 0.0000), P at (0.0000, 0.5000, 0.0000), Pb at (0.5000, 0.5000, 0.5000) and S at (0.0000, 0.0000, 0.5000).

---

Record 4
ZnP2PbS after structural relaxation, computed with PBE.

The calculation puts the uncorrected formation energy at 0.5865 eV/atom. The uncorrected energy comes out at -3.399 eV per atom. The value obtained for the energy above the lowest structure with this stoichiometry is 0.0 meV/atom. The value obtained for the density of states at the Fermi level is 4.23 states/eV/f.u.

It has space group P4/mmm (No. 123), with a = 4.6613 Å, b = 4.6613 Å, c = 5.7397 Å, α = 90.00°, β = 90.00° and γ = 90.00°. The distinct sites, in fractional coordinates, are Zn at (0.0000, 0.0000, 0.0000), P at (0.0000, 0.5000, 0.0000), Pb at (0.5000, 0.5000, 0.5000) and S at (0.0000, 0.0000, 0.5000).

---

Record 5
ZnP2PbS after structural relaxation, computed with PBE.

The calculation puts the uncorrected formation energy at 1.2295 eV/atom. The uncorrected energy comes out at -2.756 eV per atom. The value obtained for the energy above the lowest structure with this stoichiometry is 643.0 meV/atom. The value obtained for the density of states at the Fermi level is 4.58 states/eV/f.u.

It has space group P4/mmm (No. 123), with a = 5.3392 Å, b = 5.3392 Å, c = 5.2106 Å, α = 90.00°, β = 90.00° and γ = 90.00°. The distinct sites, in fractional coordinates, are Zn at (0.0000, 0.0000, 0.0000), P at (0.0000, 0.5000, 0.5000), Pb at (0.5000, 0.5000, 0.5000) and S at (0.5000, 0.5000, 0.0000).

---

Record 6
ZrPPbS2 after structural relaxation, computed with PBE.

The calculation puts the uncorrected formation energy at 0.7350 eV/atom. The uncorrected energy comes out at -4.449 eV per atom. The value obtained for the energy above the lowest structure with this stoichiometry is 1205.9 meV/atom. The value obtained for the density of states at the Fermi level is 3.56 states/eV/f.u.

It has space group P4/mmm (No. 123), with a = 5.0834 Å, b = 5.0834 Å, c = 5.1217 Å, α = 90.00°, β = 90.00° and γ = 90.00°. The distinct sites, in fractional coordinates, are Zr at (0.0000, 0.0000, 0.0000), P at (0.5000, 0.5000, 0.0000), Pb at (0.5000, 0.5000, 0.5000) and S at (0.0000, 0.5000, 0.5000).

---

Record 7
ZrP2PbS after structural relaxation, computed with PBE.

The calculation puts the uncorrected formation energy at -0.1194 eV/atom. The uncorrected energy comes out at -5.560 eV per atom. The value obtained for the energy above the lowest structure with this stoichiometry is 0.0 meV/atom. The value obtained for the density of states at the Fermi level is 4.41 states/eV/f.u.

It has space group P4/mmm (No. 123), with a = 5.0829 Å, b = 5.0829 Å, c = 4.9554 Å, α = 90.00°, β = 90.00° and γ = 90.00°. The distinct sites, in fractional coordinates, are Zr at (0.0000, 0.0000, 0.0000), P at (0.0000, 0.5000, 0.0000), Pb at (0.5000, 0.5000, 0.5000) and S at (0.0000, 0.0000, 0.5000).

---

Record 8
ZrP2PbS after structural relaxation, computed with PBE.

The calculation puts the uncorrected formation energy at 0.6079 eV/atom. The uncorrected energy comes out at -4.833 eV per atom. The value obtained for the energy above the lowest structure with this stoichiometry is 727.3 meV/atom. The value obtained for the density of states at the Fermi level is 3.44 states/eV/f.u.

It has space group P4/mmm (No. 123), with a = 4.5883 Å, b = 4.5883 Å, c = 5.1639 Å, α = 90.00°, β = 90.00° and γ = 90.00°. The distinct sites, in fractional coordinates, are Zr at (0.0000, 0.0000, 0.0000), P at (0.0000, 0.5000, 0.5000), Pb at (0.5000, 0.5000, 0.0000) and S at (0.5000, 0.5000, 0.5000).